Record 1
## LaNpMnO6 (PBE with a Hubbard U)

Data for an optimized crystal structure of LaNpMnO6.

Structure (POSCAR):
```
LaNpMnO6
1.0
5.507 0.000 0.000
-2.754 4.769 0.000
0.000 0.000 10.385
La Np Mn O
2 2 2 12
direct
0.000 0.000 0.000 La
0.000 0.000 0.500 La
0.333 0.667 0.250 Np
0.667 0.333 0.750 Np
0.333 0.667 0.750 Mn
0.667 0.333 0.250 Mn
0.019 0.366 0.141 O
0.019 0.652 0.359 O
0.348 0.366 0.359 O
0.348 0.981 0.141 O
0.366 0.019 0.641 O
0.366 0.348 0.859 O
0.634 0.652 0.141 O
0.634 0.981 0.359 O
0.652 0.019 0.859 O
0.652 0.634 0.641 O
0.981 0.348 0.641 O
0.981 0.634 0.859 O
```

Calculated values
symmetry: P-31c (163)
VASP energy: -8.786 eV per atom
mass density: 6.4 Mg/m³

=====

Record 2
## La2MnO2 (PBE with a Hubbard U)

Data for an optimized crystal structure of La2MnO2.

Structure (POSCAR):
```
La2MnO2
1.0
-2.091 2.091 6.905
2.091 -2.091 6.905
2.091 2.091 -6.905
La Mn O
2 1 2
direct
0.166 0.166 0.000 La
0.834 0.834 0.000 La
0.500 0.500 0.000 Mn
0.250 0.750 0.500 O
0.750 0.250 0.500 O
```

Calculated values
distance to the lowest polymorph of the same formula: 0.000 eV/f.u.
symmetry: I4/mmm (139)
mass density: 5.0 Mg/m³

=====

Record 3
## La3Mn5O12 (PBE with a Hubbard U)

Data for an optimized crystal structure of La3Mn5O12.

Structure (POSCAR):
```
La3Mn5O12
1.0
-6.432 6.432 6.432
6.432 -6.432 6.432
6.432 6.432 -6.432
La Mn O
12 20 48
direct
0.125 0.250 0.375 La
0.125 0.375 0.750 La
0.250 0.375 0.125 La
0.250 0.875 0.625 La
0.375 0.125 0.250 La
0.375 0.750 0.125 La
0.625 0.250 0.875 La
0.625 0.875 0.750 La
0.750 0.125 0.375 La
0.750 0.625 0.875 La
0.875 0.625 0.250 La
0.875 0.750 0.625 La
0.000 0.000 0.000 Mn
0.000 0.000 0.500 Mn
0.000 0.500 0.000 Mn
0.000 0.500 0.500 Mn
0.125 0.750 0.875 Mn
0.125 0.875 0.250 Mn
0.250 0.125 0.875 Mn
0.250 0.625 0.375 Mn
0.375 0.250 0.625 Mn
0.375 0.625 0.750 Mn
0.500 0.000 0.000 Mn
0.500 0.000 0.500 Mn
0.500 0.500 0.000 Mn
0.500 0.500 0.500 Mn
0.625 0.375 0.250 Mn
0.625 0.750 0.375 Mn
0.750 0.375 0.625 Mn
0.750 0.875 0.125 Mn
0.875 0.125 0.750 Mn
0.875 0.250 0.125 Mn
0.024 0.192 0.117 O
0.024 0.332 0.907 O
0.075 0.692 0.668 O
0.075 0.883 0.407 O
0.093 0.617 0.425 O
0.093 0.976 0.668 O
0.117 0.024 0.192 O
0.117 0.593 0.925 O
0.168 0.192 0.575 O
0.168 0.476 0.593 O
0.192 0.117 0.024 O
0.192 0.575 0.168 O
0.308 0.332 0.925 O
0.308 0.476 0.383 O
0.332 0.907 0.024 O
0.332 0.925 0.308 O
0.383 0.308 0.476 O
0.383 0.575 0.907 O
0.407 0.075 0.883 O
0.407 0.832 0.524 O
0.425 0.093 0.617 O
0.425 0.832 0.808 O
0.476 0.383 0.308 O
0.476 0.593 0.168 O
0.524 0.407 0.832 O
0.524 0.617 0.692 O
0.575 0.168 0.192 O
0.575 0.907 0.383 O
0.593 0.168 0.476 O
0.593 0.925 0.117 O
0.617 0.425 0.093 O
0.617 0.692 0.524 O
0.668 0.075 0.692 O
0.668 0.093 0.976 O
0.692 0.524 0.617 O
0.692 0.668 0.075 O
0.808 0.425 0.832 O
0.808 0.883 0.976 O
0.832 0.524 0.407 O
0.832 0.808 0.425 O
0.883 0.407 0.075 O
0.883 0.976 0.808 O
0.907 0.024 0.332 O
0.907 0.383 0.575 O
0.925 0.117 0.593 O
0.925 0.308 0.332 O
0.976 0.668 0.093 O
0.976 0.808 0.883 O
```

Calculated values
symmetry: Ia-3d (230)
VASP energy: -7.701 eV per atom
mass density: 5.5 Mg/m³